(1)
# NaSnBPt

NaSnBPt after structural relaxation (PBE, OQMD).

Cell lengths 4.5711, 4.5711, 4.5711 Å; angles 60.00, 60.00, 60.00 degrees
Closest atoms and distances in Å follow each position.
Sites, in units of the cell vectors:
Sn 0.2500 0.2500 0.2500  4 Pt 2.80, 4 B 2.80
Na 0.7500 0.7500 0.7500  4 B 2.80, 4 Pt 2.80
Pt 0.5000 0.5000 0.5000  4 Sn 2.80, 4 Na 2.80
B 0.0000 0.0000 0.0000  4 Sn 2.80, 4 Na 2.80

Results
relative energy among the computed polymorphs: 65.5 meV/atom
spin magnetization: 0.0 Bohr magnetons per cell

(2)
# NbNiPt

NbNiPt after structural relaxation (PBE, OQMD).

Cell lengths 4.1241, 4.1241, 4.1241 Å; angles 60.00, 60.00, 60.00 degrees
Closest atoms and distances in Å follow each position.
Sites, in units of the cell vectors:
Ni 0.0000 0.0000 0.0000  4 Pt 2.53, 4 Nb 2.53
Pt 0.7500 0.7500 0.7500  4 Ni 2.53
Nb 0.2500 0.2500 0.2500  4 Ni 2.53

Results
calculated formation energy: -0.052 eV per atom
relative energy among the computed polymorphs: 0.0 meV/atom
spin magnetization: 0.1 Bohr magnetons per cell

(3)
# CuSn2Au

CuSn2Au after structural relaxation (PBE, OQMD).

Cell lengths 3.9486, 3.9485, 6.6102 Å; angles 90.00, 90.00, 120.00 degrees
Closest atoms and distances in Å follow each position.
Sites, in units of the cell vectors:
Cu 0.3333 0.6667 0.5000  6 Sn 2.77
Au 0.0000 0.0000 0.0000  6 Sn 2.86
Sn 0.6667 0.3333 0.7387  3 Cu 2.77, 3 Au 2.86
Sn 0.6667 0.3333 0.2613  3 Cu 2.77, 3 Au 2.86

Results
relative energy among the computed polymorphs: 208.7 meV/atom

(4)
# NaAuNO

NaAuNO after structural relaxation (PBE, OQMD).

Cell lengths 4.7969, 4.7969, 4.1577 Å; angles 90.00, 90.00, 90.00 degrees
Closest atoms and distances in Å follow each position.
Sites, in units of the cell vectors:
N 0.0000 0.0000 0.4997  2 Au 2.08
Na 0.5000 0.0000 0.5000  2 O 2.08
Na 0.0000 0.5000 0.5000  2 O 2.08
Au 0.0000 0.0000 0.9998  2 N 2.08
O 0.5000 0.0000 0.0000  2 Na 2.08
Au 0.5000 0.5000 0.0002  2 N 2.08
O 0.0000 0.5000 0.0000  2 Na 2.08
N 0.5000 0.5000 0.5003  2 Au 2.08

Results
relative energy among the computed polymorphs: 212.1 meV/atom

(5)
# SnHgMo2

SnHgMo2 after structural relaxation (PBE, OQMD).

Cell lengths 4.7137, 4.7137, 4.7137 Å; angles 60.00, 60.00, 60.00 degrees
Closest atoms and distances in Å follow each position.
Sites, in units of the cell vectors:
Hg 0.2500 0.2500 0.2500  4 Mo 2.89, 4 Sn 2.89
Mo 0.0000 0.0000 0.0000  4 Mo 2.89, 4 Hg 2.89
Sn 0.5000 0.5000 0.5000  4 Hg 2.89, 4 Mo 2.89
Mo 0.7500 0.7500 0.7500  4 Mo 2.89, 4 Sn 2.89

Results
spin magnetization: 0.0 Bohr magnetons per cell

(6)
# ZrReSi

ZrReSi after structural relaxation (PBE, OQMD).

Cell lengths 5.3038, 5.3038, 5.2978 Å; angles 90.00, 90.00, 137.41 degrees
Closest atoms and distances in Å follow each position.
Sites, in units of the cell vectors:
Si 0.0983 0.9017 0.7500  4 Re 2.53, 4 Zr 2.78-2.83
Re 0.5000 0.5000 0.0000  4 Si 2.53, 2 Re 2.65
Re 0.5000 0.5000 0.5000  4 Si 2.53, 2 Re 2.65
Zr 0.8010 0.1990 0.7500  5 Si 2.78-2.94, 4 Re 3.06
Zr 0.1990 0.8010 0.2500  5 Si 2.78-2.94, 4 Re 3.06
Si 0.9017 0.0983 0.2500  4 Re 2.53, 4 Zr 2.78-2.83

Results
spin magnetization: 0.0 Bohr magnetons per cell

In eV per atom, the DFT total energy values for the records above are, in order, -3.95; -7.29; -3.66; -3.89; -5.81; -9.43.